# 1
Below is a geometry-optimized YCr2Ag structure, with properties calculated at the GGA-PBE level.

Cell lengths 8.976, 8.976, 8.976 Å; angles 19.59, 19.59, 19.59 degrees
Fractional positions:
1 Y 0.000 0.000 0.000
2 Cr 0.239 0.239 0.239
3 Cr 0.519 0.519 0.519
4 Ag 0.767 0.767 0.767

Computed properties:
Energy above the lowest structure with this stoichiometry   300 meV/atom
ΔH_f (0 K)   0.5436 eV per atom
DOS(E_F)   4.51 states/eV/f.u.
Spin magnetization   0.002 μB per atom

---

# 2
Below is a geometry-optimized KB2Ir structure, with properties calculated at the GGA-PBE level.

Cell lengths 4.225, 4.225, 4.225 Å; angles 60.00, 60.00, 60.00 degrees
Fractional positions:
1 K 0.000 0.000 0.000
2 B 0.250 0.250 0.250
3 B 0.750 0.750 0.750
4 Ir 0.500 0.500 0.500

Computed properties:
Energy above the lowest structure with this stoichiometry   1519 meV/atom
ΔH_f (0 K)   1.6476 eV per atom
DOS(E_F)   4.09 states/eV/f.u.
Spin magnetization   0.000 μB per atom

---

# 3
Below is a geometry-optimized CePr7Nd12 structure, with properties calculated at the GGA-PBE level.

Cell lengths 9.553, 9.553, 9.553 Å; angles 107.68, 107.68, 107.68 degrees
Fractional positions:
1 Ce 0.000 0.000 0.000
2 Pr 0.003 0.893 0.317
3 Pr 0.107 0.683 0.997
4 Pr 0.317 0.003 0.893
5 Pr 0.500 0.500 0.500
6 Pr 0.683 0.997 0.107
7 Pr 0.893 0.317 0.003
8 Pr 0.997 0.107 0.683
9 Nd 0.058 0.297 0.403
10 Nd 0.220 0.678 0.391
11 Nd 0.297 0.403 0.058
12 Nd 0.322 0.609 0.780
13 Nd 0.391 0.220 0.678
14 Nd 0.403 0.058 0.297
15 Nd 0.597 0.942 0.703
16 Nd 0.609 0.780 0.322
17 Nd 0.678 0.391 0.220
18 Nd 0.703 0.597 0.942
19 Nd 0.780 0.322 0.609
20 Nd 0.942 0.703 0.597

Computed properties:
ΔH_f (0 K)   0.1482 eV per atom
DOS(E_F)   35.86 states/eV/f.u.
Spin magnetization   0.029 μB per atom

---

# 4
Below is a geometry-optimized La2AsAu2 structure, with properties calculated at the GGA-PBE level.

Cell lengths 7.898, 7.898, 4.171 Å; angles 90.00, 90.00, 90.00 degrees
Fractional positions:
1 La 0.178 0.322 0.000
2 La 0.322 0.822 0.000
3 La 0.678 0.178 0.000
4 La 0.822 0.678 0.000
5 As 0.000 0.000 0.500
6 As 0.500 0.500 0.500
7 Au 0.125 0.625 0.500
8 Au 0.375 0.125 0.500
9 Au 0.625 0.875 0.500
10 Au 0.875 0.375 0.500

Computed properties:
Energy above the lowest structure with this stoichiometry   0 meV/atom
ΔH_f (0 K)   -0.8436 eV per atom
DOS(E_F)   2.50 states/eV/f.u.
Spin magnetization   0.000 μB per atom